TbSmErZn: optimized geometry, PBE-GGA.

raw total energy	-3.7638	eV per atom
formation energy	0.13	eV/f.u.
space group	F-43m

Cell: 5.356 5.356 5.356 Å, 60.00 60.00 60.00°
Fractional positions:
Sm (0.250, 0.250, 0.250)
Tb (0.750, 0.750, 0.750)
Er (0.500, 0.500, 0.500)
Zn (0.000, 0.000, 0.000)


TbSmErZn: optimized geometry, PBE-GGA.

raw total energy	-3.9588	eV per atom
formation energy	-0.65	eV/f.u.
space group	P4mm

Cell: 3.573 3.573 8.657 Å, 90.00 90.00 90.00°
Fractional positions:
Tb (0.500, 0.500, 0.776)
Sm (0.000, 0.000, 0.074)
Er (0.500, 0.500, 0.368)
Zn (0.000, 0.000, 0.566)


TbSmErZr: optimized geometry, PBE-GGA.

raw total energy	-5.3900	eV per atom
formation energy	0.90	eV/f.u.
space group	F-43m

Cell: 5.509 5.509 5.509 Å, 60.00 60.00 60.00°
Fractional positions:
Tb (0.500, 0.500, 0.500)
Zr (0.250, 0.250, 0.250)
Er (0.000, 0.000, 0.000)
Sm (0.750, 0.750, 0.750)


Tb3Sm6Er2Zr: optimized geometry, PBE-GGA.

raw total energy	-4.9409	eV per atom
formation energy	0.59	eV/f.u.
space group	C2/m

Cell: 6.148 6.148 11.726 Å, 94.99 94.99 119.92°
Fractional positions:
Sm (0.246, 0.246, 0.757)
Tb (0.500, 0.500, 0.500)
Er (0.667, 0.333, 0.000)
Sm (0.754, 0.754, 0.243)
Sm (0.409, 0.081, 0.244)
Tb (0.834, 0.166, 0.500)
Sm (0.919, 0.591, 0.756)
Zr (0.000, 0.000, 0.000)
Sm (0.081, 0.409, 0.244)
Tb (0.166, 0.834, 0.500)
Er (0.333, 0.667, 0.000)
Sm (0.591, 0.919, 0.756)


Question: raw total energy of number 3 (TbSmErZr)?
Answer: -5.3900 eV per atom